#i
VASP calculation (PBE) on a relaxed structure of ScInSi.

Magnetic moment in μB/cell: 0.000
DOS(E_F) in states/eV per atom: 0.712

a = 3.608 Å, b = 3.608 Å, c = 11.900 Å
α = 81.28°, β = 81.28°, γ = 60.00°
Fractional positions:
In  0.866  0.866  0.403
In  0.134  0.134  0.597
Si  0.682  0.682  0.953
Si  0.318  0.318  0.047
Sc  0.400  0.400  0.800
Sc  0.600  0.600  0.200

***

#ii
VASP calculation (PBE) on a relaxed structure of ScInSi.

Magnetic moment in μB/cell: 0.000
DOS(E_F) in states/eV per atom: 0.958

a = 3.201 Å, b = 3.201 Å, c = 7.105 Å
α = 90.00°, β = 90.00°, γ = 120.00°
Fractional positions:
Si  0.333  0.667  0.655
In  0.000  0.000  0.992
Sc  0.667  0.333  0.353

***

Stability ranking, top entry: #i; the second entry is 0.329 eV/atom less favorable.